NaMn2O4 (SCAN, single point on PBEsol structure); space group = Pnma (62); excess energy over the best structure of this formula in the dataset = 0.00 eV/f.u.; raw formation energy = -209 kJ/mol of atoms; crystal system = orthorhombic
1.0
-0.950 2.659 0.350
-6.175 -2.946 5.614
6.853 1.361 8.252
Na Mn O
4 8 16
Direct
0.750 0.755 0.661
0.750 0.255 0.839
0.250 0.245 0.339
0.250 0.745 0.161
0.750 0.933 0.885
0.750 0.433 0.615
0.250 0.067 0.115
0.250 0.567 0.385
0.750 0.919 0.402
0.750 0.419 0.098
0.250 0.081 0.598
0.250 0.581 0.902
0.750 0.710 0.348
0.750 0.210 0.152
0.250 0.290 0.652
0.250 0.790 0.848
0.750 0.616 0.021
0.750 0.116 0.479
0.250 0.384 0.979
0.250 0.884 0.521
0.750 0.525 0.794
0.750 0.025 0.706
0.250 0.475 0.206
0.250 0.975 0.294
0.750 0.931 0.080
0.750 0.431 0.420
0.250 0.069 0.920
0.250 0.569 0.580